Entry 1:
{"formula": "NiAs2Os", "functional": "PBE", "state": "relaxed", "lattice_angstrom": [[-0.102, 1.422, 4.182], [-1.010, -1.558, 4.009], [4.406, -1.437, 1.622]], "species": ["As", "As", "Ni", "Os"], "fractional_positions": [[0.994, 0.994, 0.054], [0.760, 0.760, 0.630], [0.485, 0.485, 0.586], [0.261, 0.261, 0.230]]}

---

Entry 2:
{"formula": "NiAsOs2", "functional": "PBE", "state": "relaxed", "lattice_angstrom": [[2.808, 0.000, 0.000], [0.000, 4.800, -0.010], [0.000, 3.151, 4.114]], "species": ["As", "Ni", "Os", "Os"], "fractional_positions": [[0.500, 0.500, 0.500], [0.000, 0.000, 0.500], [0.000, 0.000, 0.000], [0.500, 0.500, 0.000]]}

---

Entry 3:
{"formula": "NiAs2Os", "functional": "PBE", "state": "relaxed", "lattice_angstrom": [[-2.186, -1.056, 1.768], [1.371, -2.670, 0.101], [3.826, 2.193, 6.039]], "species": ["As", "As", "Ni", "Os"], "fractional_positions": [[0.000, 0.000, 0.920], [0.500, 0.500, 0.345], [0.000, 0.000, 0.504], [0.500, 0.500, 0.730]]}

---

Entry 4:
{"formula": "NiAsOs", "functional": "PBE", "state": "relaxed", "lattice_angstrom": [[-0.362, -0.987, 6.670], [0.807, -3.244, 5.545], [1.651, 1.874, 1.222]], "species": ["As", "Ni", "Os"], "fractional_positions": [[0.004, 0.004, 0.996], [0.665, 0.665, 0.335], [0.331, 0.331, 0.669]]}

---

What did we get for D(E_F)? Answer: 0.496; 1.177; 0.702; 1.241 states/eV/atom, in the order shown.
What did we get for E_tot? Answer: -6.45; -7.86; -6.49; -6.68 eV/atom, in the order shown.